Mn3CoH3 | PBE | optimized geometry

Output
Total magnetization ... 0.548 μB per atom
Total DFT energy (no corrections) ... -6.262 eV/atom
Space-group type ... C2/m (12)
Crystal system ... monoclinic
Theoretical density ... 6.70 Mg/m³

Structure (POSCAR):
```
Mn3CoH3
1.0
5.9074 -0.8481 -0.5460
-0.5197 4.2913 -1.9473
-0.5523 -0.2169 4.7037
Mn Co H
6 2 6
direct
0.7486 0.6706 0.6706
0.5000 0.7923 0.2077
0.5000 0.2077 0.7923
0.0000 0.7668 0.2332
0.0000 0.2332 0.7668
0.2514 0.3294 0.3294
0.1636 0.7788 0.7788
0.8364 0.2212 0.2212
0.6152 0.9241 0.9241
0.3059 0.4789 0.7809
0.3059 0.7809 0.4789
0.6941 0.5211 0.2191
0.6941 0.2191 0.5211
0.3848 0.0759 0.0759
```

***

MnCo8H4 | PBE | optimized geometry

Output
Total magnetization ... 1.075 μB per atom
Total DFT energy (no corrections) ... -6.085 eV/atom
Space-group type ... C2/m (12)
Crystal system ... monoclinic
Theoretical density ... 8.23 Mg/m³

Structure (POSCAR):
```
MnCo8H4
1.0
-0.1531 1.0894 2.3342
-6.2658 1.0693 0.5163
-1.6522 -5.3830 3.8302
Mn Co H
1 8 4
direct
0.5157 0.0018 0.9669
0.1438 0.3388 0.3735
0.5524 0.6696 0.2256
0.4790 0.3338 0.7081
0.8876 0.6646 0.5602
0.8492 0.0043 0.2972
0.2183 0.6729 0.8905
0.1822 0.9990 0.6366
0.8131 0.3306 0.0432
0.3687 0.8348 0.4278
0.8481 0.5016 0.8022
0.1833 0.5018 0.1315
0.6628 0.1685 0.5059
```

***

Mn2CoH | PBE | optimized geometry

Output
Total magnetization ... 0.000 μB per atom
Total DFT energy (no corrections) ... -6.500 eV/atom
Space-group type ... Fm-3m (225)
Crystal system ... cubic
Theoretical density ... 7.50 Mg/m³

Structure (POSCAR):
```
Mn2CoH
1.0
0.0000 2.6585 2.6585
2.6585 0.0000 2.6585
2.6585 2.6585 0.0000
H Mn Co
1 2 1
direct
0.0000 0.0000 0.0000
0.2500 0.2500 0.2500
0.7500 0.7500 0.7500
0.5000 0.5000 0.5000
```

***

Mn3CoH | PBE | optimized geometry

Output
Total magnetization ... 0.996 μB per atom
Total DFT energy (no corrections) ... -7.541 eV/atom
Space-group type ... P4/mmm (123)
Crystal system ... tetragonal
Theoretical density ... 7.50 Mg/m³

Structure (POSCAR):
```
Mn3CoH
1.0
2.7002 -0.0002 0.0001
0.0002 2.7000 0.0000
-0.0002 0.0002 6.8295
Mn Co H
3 1 1
direct
0.3639 0.1485 0.6142
0.8639 0.6485 0.8860
0.3640 0.1485 0.1577
0.8638 0.6485 0.3859
0.3635 0.1485 0.8859
```

***

MnCoH3 | PBE | optimized geometry

Output
Total magnetization ... 0.000 μB per atom
Total DFT energy (no corrections) ... -4.977 eV/atom
Space-group type ... Pm-3m (221)
Crystal system ... cubic
Theoretical density ... 6.48 Mg/m³

Structure (POSCAR):
```
MnCoH3
1.0
-0.8176 -2.8751 -0.8456
-0.8071 -0.6329 2.9322
-2.8861 0.9915 -0.5804
H Mn Co
3 1 1
direct
0.0000 0.5000 0.0000
0.0000 0.0000 0.5000
0.5000 0.0000 0.0000
0.5000 0.5000 0.5000
0.0000 0.0000 0.0000
```

***

Mn2CoH | PBE | optimized geometry

Output
Total magnetization ... 0.483 μB per atom
Total DFT energy (no corrections) ... -6.896 eV/atom
Space-group type ... I-42d (122)
Crystal system ... tetragonal
Theoretical density ... 7.93 Mg/m³

Structure (POSCAR):
```
Mn2CoH
1.0
-1.6886 5.4863 0.3519
-3.1404 -1.2648 4.6489
-0.7264 2.5495 3.7601
H Mn Co
2 4 2
direct
0.5000 0.5000 0.0000
0.2500 0.7500 0.5000
0.5276 0.1250 0.2500
0.2224 0.6250 0.2500
0.3750 0.4724 0.7500
0.8750 0.7776 0.7500
0.0000 0.0000 0.0000
0.7500 0.2500 0.5000
```

***

Mn4CoH | PBE | optimized geometry

Output
Total magnetization ... 0.228 μB per atom
Total DFT energy (no corrections) ... -7.687 eV/atom
Space-group type ... Cmc2_1 (36)
Crystal system ... orthorhombic
Theoretical density ... 7.38 Mg/m³

Structure (POSCAR):
```
Mn4CoH
1.0
2.5916 0.0000 -0.6245
0.0000 6.3387 0.0000
0.4485 0.0000 7.5504
Mn Co H
8 2 2
direct
0.8937 0.2407 0.7874
0.1063 0.7407 0.2126
0.5148 0.0425 0.0296
0.4852 0.5425 0.9704
0.7008 0.4598 0.4016
0.2992 0.9598 0.5984
0.6725 0.0794 0.3451
0.3275 0.5794 0.6549
0.9238 0.8224 0.8476
0.0762 0.3224 0.1524
0.6858 0.7886 0.3716
0.3142 0.2886 0.6284
```

***

Mn2CoH | PBE | optimized geometry

Output
Total magnetization ... 0.736 μB per atom
Total DFT energy (no corrections) ... -6.928 eV/atom
Space-group type ... P4/mmm (123)
Crystal system ... tetragonal
Theoretical density ... 7.93 Mg/m³

Structure (POSCAR):
```
Mn2CoH
1.0
2.4955 0.0000 0.0000
0.0000 2.4955 0.0000
0.0000 0.0000 5.7136
H Mn Co
1 2 1
direct
0.5000 0.5000 0.0000
0.0000 0.0000 0.8004
0.0000 0.0000 0.1996
0.5000 0.5000 0.5000
```

***

Mn2CoH4 | PBE | optimized geometry

Output
Total magnetization ... 1.154 μB per atom
Total DFT energy (no corrections) ... -5.455 eV/atom
Space-group type ... I4/mmm (139)
Crystal system ... tetragonal
Theoretical density ... 5.47 Mg/m³

Structure (POSCAR):
```
Mn2CoH4
1.0
3.8143 0.6470 -1.4855
-1.5901 3.5269 -1.4855
-0.3448 -0.6470 4.0830
Mn Co H
2 1 4
direct
0.7499 0.2499 0.5000
0.2499 0.7499 0.5000
0.9999 0.9999 0.0000
0.7387 0.7387 0.4773
0.2614 0.2614 0.5227
0.2619 0.7382 0.0000
0.7382 0.2619 0.0000
```

***

MnCoMo2H | PBE | optimized geometry

Output
Total magnetization ... 0.156 μB per atom
Total DFT energy (no corrections) ... -8.169 eV/atom
Space-group type ... P4/mmm (123)
Crystal system ... tetragonal
Theoretical density ... 9.14 Mg/m³

Structure (POSCAR):
```
MnCoMo2H
1.0
3.9140 0.0000 0.0000
0.0000 3.9140 0.0000
0.0000 0.0000 3.6387
H Mo Mn Co
1 2 1 1
direct
0.0000 0.0000 0.0000
0.0000 0.5000 0.0000
0.5000 0.0000 0.0000
0.5000 0.5000 0.5000
0.0000 0.0000 0.5000
```

***

MnCoMo2H | PBE | optimized geometry

Output
Total magnetization ... 0.132 μB per atom
Total DFT energy (no corrections) ... -8.162 eV/atom
Space-group type ... P4/mmm (123)
Crystal system ... tetragonal
Theoretical density ... 9.11 Mg/m³

Structure (POSCAR):
```
MnCoMo2H
1.0
3.8969 0.0000 0.0000
0.0000 3.8969 0.0000
0.0000 0.0000 3.6830
H Mo Mn Co
1 2 1 1
direct
0.0000 0.0000 0.0000
0.0000 0.5000 0.0000
0.5000 0.0000 0.0000
0.0000 0.0000 0.5000
0.5000 0.5000 0.5000
```

***

MnNbCo2H | PBE | optimized geometry

Output
Total magnetization ... 0.329 μB per atom
Total DFT energy (no corrections) ... -7.471 eV/atom
Space-group type ... P4/mmm (123)
Crystal system ... tetragonal
Theoretical density ... 8.63 Mg/m³

Structure (POSCAR):
```
MnNbCo2H
1.0
3.6922 0.0000 0.0000
0.0000 3.6922 0.0000
0.0000 0.0000 3.7653
H Nb Mn Co
1 1 1 2
direct
0.0000 0.0000 0.0000
0.5000 0.5000 0.5000
0.0000 0.0000 0.5000
0.0000 0.5000 0.0000
0.5000 0.0000 0.0000
```